No. 1
First-principles (PBE) data for a relaxed structure of Pr6CdBr8, as listed in Alexandria.

Cell lengths 11.9236, 11.9236, 11.9236 Å; angles 35.63, 35.63, 35.63 degrees
With the nearest neighbours (Å) after each atom.
Element x y z (fractional)
Pr 0.0547 0.3886 0.7203  5 Br 3.04-3.09, 1 Cd 3.05
Pr 0.2797 0.9453 0.6114  5 Br 3.04-3.09, 1 Cd 3.05
Pr 0.3886 0.7203 0.0547  5 Br 3.04-3.09, 1 Cd 3.05
Pr 0.6114 0.2797 0.9453  5 Br 3.04-3.09, 1 Cd 3.05
Pr 0.7203 0.0547 0.3886  5 Br 3.04-3.09, 1 Cd 3.05
Pr 0.9453 0.6114 0.2797  5 Br 3.04-3.09, 1 Cd 3.05
Cd 0.0000 0.0000 0.0000  6 Pr 3.05
Br 0.1097 0.7830 0.4369  3 Pr 3.04-3.09
Br 0.2170 0.5631 0.8903  3 Pr 3.04-3.09
Br 0.3333 0.3333 0.3333  6 Pr 3.04
Br 0.4369 0.1097 0.7830  3 Pr 3.04-3.09
Br 0.5631 0.8903 0.2170  3 Pr 3.04-3.09
Br 0.6667 0.6667 0.6667  6 Pr 3.04
Br 0.7830 0.4369 0.1097  3 Pr 3.04-3.09
Br 0.8903 0.2170 0.5631  3 Pr 3.04-3.09

Properties
As for the space group: No. 148. Its formation energy from raw total energies is -1.3382 eV/atom.

No. 2
First-principles (PBE) data for a relaxed structure of SnAs2W, as listed in Alexandria.

Cell lengths 11.0872, 11.0872, 11.0872 Å; angles 15.27, 15.27, 15.27 degrees
With the nearest neighbours (Å) after each atom.
Element x y z (fractional)
Sn 0.0000 0.0000 0.0000  6 Sn 2.95
As 0.4206 0.4206 0.4206  1 W 2.61
As 0.5794 0.5794 0.5794  1 W 2.61
W 0.5000 0.5000 0.5000  2 As 2.61

Properties
As for the space group: No. 166. Its formation enthalpy at 0 K is 0.69 eV/atom.

No. 3
First-principles (PBE) data for a relaxed structure of K4Tb3HfSe8, as listed in Alexandria.

Cell lengths 9.0653, 9.0653, 9.0653 Å; angles 54.37, 54.37, 54.37 degrees
With the nearest neighbours (Å) after each atom.
Element x y z (fractional)
K 0.0000 0.0000 0.0000  6 Se 3.39
K 0.0000 0.5000 0.5000  6 Se 3.27
K 0.5000 0.0000 0.5000  6 Se 3.27
K 0.5000 0.5000 0.0000  6 Se 3.27
Tb 0.0000 0.0000 0.5000  6 Se 2.89-2.91
Tb 0.0000 0.5000 0.0000  6 Se 2.89-2.91
Tb 0.5000 0.0000 0.0000  6 Se 2.89-2.91
Hf 0.5000 0.5000 0.5000  6 Se 2.76
Se 0.2366 0.2366 0.2366  3 Tb 2.89
Se 0.2505 0.7262 0.7262  1 Hf 2.76, 2 Tb 2.91
Se 0.2738 0.2738 0.7495  1 Hf 2.76, 2 Tb 2.91
Se 0.2738 0.7495 0.2738  1 Hf 2.76, 2 Tb 2.91
Se 0.7262 0.2505 0.7262  1 Hf 2.76, 2 Tb 2.91
Se 0.7262 0.7262 0.2505  1 Hf 2.76, 2 Tb 2.91
Se 0.7495 0.2738 0.2738  1 Hf 2.76, 2 Tb 2.91
Se 0.7634 0.7634 0.7634  3 Tb 2.89

Properties
As for the space group: No. 166. Its formation energy from raw total energies is -1.6255 eV/atom.